(1)
This record from Alexandria via LeMat-Bulk describes crystalline TbPmSc2Bi4 at its relaxed geometry. The functional is PBE-GGA.

Geometry as extended XYZ:
```
8
Lattice="7.614 0.000 0.000 0.000 4.409 0.000 -2.552 0.000 7.196" Properties=species:S:1:pos:R:3 pbc="T T T"
Tb 0.000 0.000 0.000
Pm -1.276 2.205 3.598
Sc 2.531 0.000 3.598
Sc 3.807 2.205 0.000
Bi 1.392 2.205 1.822
Bi 0.115 0.000 5.463
Bi 4.947 0.000 1.733
Bi 3.670 2.205 5.374
```

Values from the calculation:
Energy (eV/cell): -43.78
Spin magnetization (μB per formula unit): 0.0
DFT formation energy (eV/atom): -0.7764



(2)
This record from Alexandria via LeMat-Bulk describes crystalline TbPm2ScBi5 at its relaxed geometry. The functional is PBE-GGA.

Geometry as extended XYZ:
```
9
Lattice="5.494 0.000 0.000 0.000 5.494 0.000 0.000 0.000 11.558" Properties=species:S:1:pos:R:3 pbc="T T T"
Tb 0.000 0.000 0.000
Pm 2.747 2.747 2.549
Pm 2.747 2.747 9.010
Sc 0.000 0.000 5.779
Bi 0.000 0.000 3.020
Bi 0.000 0.000 8.538
Bi 0.000 2.747 0.000
Bi 2.747 0.000 0.000
Bi 2.747 2.747 5.779
```

Values from the calculation:
Energy (eV/cell): -40.18
Spin magnetization (μB per formula unit): 0.0
DFT formation energy (eV/atom): -0.0344



(3)
This record from Alexandria via LeMat-Bulk describes crystalline PmThSc2Bi4 at its relaxed geometry. The functional is PBE-GGA.

Geometry as extended XYZ:
```
8
Lattice="7.627 0.000 0.000 0.000 4.449 0.000 -2.583 0.000 7.247" Properties=species:S:1:pos:R:3 pbc="T T T"
Pm 0.000 0.000 0.000
Th -1.292 2.225 3.623
Sc 2.522 0.000 3.623
Sc 3.814 2.225 0.000
Bi 1.412 2.225 1.859
Bi 0.126 0.000 5.499
Bi 4.919 0.000 1.747
Bi 3.632 2.225 5.387
```

Values from the calculation:
Energy (eV/cell): -46.04
Spin magnetization (μB per formula unit): 0.0
DFT formation energy (eV/atom): -0.7108



(4)
This record from Alexandria via LeMat-Bulk describes crystalline PmTh2ScBi5 at its relaxed geometry. The functional is PBE-GGA.

Geometry as extended XYZ:
```
9
Lattice="5.554 0.000 0.000 0.000 5.554 0.000 0.000 0.000 11.421" Properties=species:S:1:pos:R:3 pbc="T T T"
Pm 0.000 0.000 0.000
Th 2.777 2.777 2.285
Th 2.777 2.777 9.137
Sc 0.000 0.000 5.711
Bi 0.000 0.000 2.994
Bi 0.000 0.000 8.428
Bi 0.000 2.777 0.000
Bi 2.777 0.000 0.000
Bi 2.777 2.777 5.711
```

Values from the calculation:
Energy (eV/cell): -43.84
Spin magnetization (μB per formula unit): 0.0
DFT formation energy (eV/atom): 0.1648



(5)
This record from Alexandria via LeMat-Bulk describes crystalline Pm2ThScBi5 at its relaxed geometry. The functional is PBE-GGA.

Geometry as extended XYZ:
```
9
Lattice="5.797 0.000 0.000 0.000 5.797 0.000 0.000 0.000 11.514" Properties=species:S:1:pos:R:3 pbc="T T T"
Pm 0.000 0.000 2.403
Pm 0.000 0.000 9.111
Th 2.898 2.898 0.000
Sc 2.898 2.898 5.757
Bi 0.000 0.000 5.757
Bi 0.000 2.898 0.000
Bi 2.898 0.000 0.000
Bi 2.898 2.898 3.044
Bi 2.898 2.898 8.470
```

Values from the calculation:
Energy (eV/cell): -41.66
Spin magnetization (μB per formula unit): 0.0
DFT formation energy (eV/atom): 0.1109



(6)
This record from Alexandria via LeMat-Bulk describes crystalline Pm2ThScBi4 at its relaxed geometry. The functional is PBE-GGA.

Geometry as extended XYZ:
```
8
Lattice="7.792 0.000 0.000 0.000 4.528 0.000 -2.620 0.000 7.393" Properties=species:S:1:pos:R:3 pbc="T T T"
Pm 0.000 0.000 0.000
Pm 3.896 2.264 0.000
Th -1.310 2.264 3.697
Sc 2.586 0.000 3.697
Bi 0.066 0.000 5.506
Bi 1.372 2.264 1.948
Bi 3.801 2.264 5.445
Bi 5.106 0.000 1.887
```

Values from the calculation:
Energy (eV/cell): -44.94
Spin magnetization (μB per formula unit): 0.0
DFT formation energy (eV/atom): -0.7700



(7)
This record from Alexandria via LeMat-Bulk describes crystalline PmScTlBi at its relaxed geometry. The functional is PBE-GGA.

Geometry as extended XYZ:
```
16
Lattice="7.615 0.000 0.000 0.000 7.615 0.000 0.000 0.000 7.615" Properties=species:S:1:pos:R:3 pbc="T T T"
Pm 0.000 0.000 0.000
Pm 0.000 3.808 3.808
Pm 3.808 0.000 3.808
Pm 3.808 3.808 0.000
Sc 0.000 0.000 3.808
Sc 0.000 3.808 0.000
Sc 3.808 0.000 0.000
Sc 3.808 3.808 3.808
Tl 1.904 1.904 1.904
Tl 1.904 5.712 5.712
Tl 5.712 1.904 5.712
Tl 5.712 5.712 1.904
Bi 1.904 1.904 5.712
Bi 1.904 5.712 1.904
Bi 5.712 1.904 1.904
Bi 5.712 5.712 5.712
```

Values from the calculation:
Energy (eV/cell): -75.08
Spin magnetization (μB per formula unit): 0.0
DFT formation energy (eV/atom): -0.3603



(8)
This record from Alexandria via LeMat-Bulk describes crystalline Pm2TmScBi5 at its relaxed geometry. The functional is PBE-GGA.

Geometry as extended XYZ:
```
9
Lattice="5.433 0.000 0.000 0.000 5.433 0.000 0.000 0.000 11.529" Properties=species:S:1:pos:R:3 pbc="T T T"
Pm 0.000 0.000 2.543
Pm 0.000 0.000 8.987
Tm 2.717 2.717 0.000
Sc 2.717 2.717 5.765
Bi 0.000 0.000 5.765
Bi 0.000 2.717 0.000
Bi 2.717 0.000 0.000
Bi 2.717 2.717 2.997
Bi 2.717 2.717 8.532
```

Values from the calculation:
Energy (eV/cell): -40.33
Spin magnetization (μB per formula unit): 0.0
DFT formation energy (eV/atom): -0.0691



What is the DFT formation energy in the second record?
-0.0344 eV/atom